First-principles (PBE) data for a geometry-optimized Er2TmHg3 structure, as listed in Alexandria.

Structure (extended XYZ):
```
6
Lattice="3.6926 0.0000 0.0000 0.0000 3.6926 0.0000 0.0000 0.0000 11.0156" Properties=species:S:1:pos:R:3 pbc="T T T"
Er 0.0000 0.0000 1.8412
Er 0.0000 0.0000 9.1744
Tm 0.0000 0.0000 5.5078
Hg 1.8463 1.8463 0.0000
Hg 1.8463 1.8463 3.6873
Hg 1.8463 1.8463 7.3283
```

Values from the calculation:
Its energy above the lowest structure with this stoichiometry is 0 meV per atom. As for the total energy: -17.38 eV for the cell shown. The space group is No. 123. The formation energy is -0.48 eV per atom.

=====

First-principles (PBE) data for a geometry-optimized ErTm3Hg4 structure, as listed in Alexandria.

Structure (extended XYZ):
```
8
Lattice="7.0583 -2.6257 0.0000 7.0583 2.6257 0.0000 -1.8380 0.0000 5.6189" Properties=species:S:1:pos:R:3 pbc="T T T"
Er 0.0000 0.0000 0.0000
Tm 3.0130 0.0000 5.1757
Tm 6.1393 0.0000 2.8094
Tm 9.2656 0.0000 0.4432
Hg 0.3941 0.0000 3.6479
Hg 2.8000 0.0000 1.8305
Hg 9.4786 0.0000 3.7884
Hg 11.8844 0.0000 1.9710
```

Values from the calculation:
Its energy above the lowest structure with this stoichiometry is 209 meV per atom. As for the total energy: -21.35 eV for the cell shown. The space group is No. 12. The formation energy is -0.27 eV per atom.

=====

First-principles (PBE) data for a geometry-optimized Er2TmHg8 structure, as listed in Alexandria.

Structure (extended XYZ):
```
11
Lattice="7.9548 -2.4436 0.0000 7.9548 2.4436 0.0000 -2.3434 0.0000 6.8120" Properties=species:S:1:pos:R:3 pbc="T T T"
Er 3.0808 0.0000 1.0657
Er 10.4855 0.0000 5.7463
Tm 6.7831 0.0000 3.4060
Hg -0.0520 0.0000 1.5768
Hg 0.7669 0.0000 4.6653
Hg 3.8200 0.0000 4.0741
Hg 6.2931 0.0000 0.3162
Hg 7.2732 0.0000 6.4958
Hg 9.7463 0.0000 2.7379
Hg 12.7994 0.0000 2.1467
Hg 13.6183 0.0000 5.2352
```

Values from the calculation:
As for the total energy: -19.18 eV for the cell shown. The space group is No. 12. The formation energy is -0.29 eV per atom.

=====

First-principles (PBE) data for a geometry-optimized Er7TmHg4 structure, as listed in Alexandria.

Structure (extended XYZ):
```
12
Lattice="7.2342 -2.8191 0.0000 7.2342 2.8191 0.0000 -5.1410 0.0000 8.1684" Properties=species:S:1:pos:R:3 pbc="T T T"
Er 0.0000 0.0000 0.0000
Er -0.1390 0.0000 5.6144
Er 3.6250 0.0000 0.9383
Er 3.2096 0.0000 4.8555
Er 6.1178 0.0000 3.3129
Er 5.7025 0.0000 7.2301
Er 9.4664 0.0000 2.5540
Tm 7.2342 0.0000 0.0000
Hg -3.0438 0.0000 5.9215
Hg 0.9805 0.0000 2.7759
Hg 8.3469 0.0000 5.3926
Hg 12.3713 0.0000 2.2469
```

Values from the calculation:
As for the total energy: -38.64 eV for the cell shown. The space group is No. 12. The formation energy is -0.09 eV per atom.

=====

First-principles (PBE) data for a geometry-optimized ErTm8Hg2 structure, as listed in Alexandria.

Structure (extended XYZ):
```
11
Lattice="4.3910 -7.3012 0.0000 4.3910 7.3012 0.0000 -1.8705 0.0000 5.0819" Properties=species:S:1:pos:R:3 pbc="T T T"
Er 0.0000 0.0000 0.0000
Tm 0.6649 1.6778 3.0840
Tm 4.3910 4.0164 0.0000
Tm 0.6649 -1.6778 3.0840
Tm 3.0960 0.0000 1.0164
Tm 3.8156 0.0000 4.0655
Tm 6.2466 1.6778 1.9979
Tm 4.3910 -4.0164 0.0000
Tm 6.2466 -1.6778 1.9979
Hg 3.4558 2.8073 2.5409
Hg 3.4558 -2.8073 2.5409
```

Values from the calculation:
As for the total energy: -41.38 eV for the cell shown. The space group is No. 12. The formation energy is -0.04 eV per atom.

=====

First-principles (PBE) data for a geometry-optimized Er3Tm2Hg4 structure, as listed in Alexandria.

Structure (extended XYZ):
```
18
Lattice="3.4479 -8.9814 0.0000 3.4479 8.9814 0.0000 0.0000 0.0000 7.8520" Properties=species:S:1:pos:R:3 pbc="T T T"
Er 0.0000 0.0000 0.0000
Er 1.7240 4.2865 1.9630
Er 1.7240 -4.2865 5.8890
Er 3.4479 0.0000 3.9260
Er 5.1719 4.2865 1.9630
Er 5.1719 -4.2865 5.8890
Tm 3.4479 7.2860 3.2356
Tm 3.4479 1.6953 7.1616
Tm 3.4479 -1.6953 0.6904
Tm 3.4479 -7.2860 4.6165
Hg 3.4479 6.0194 0.2771
Hg 1.7240 1.2230 1.9630
Hg 1.7240 -1.2230 5.8890
Hg 3.4479 2.9620 4.2031
Hg 3.4479 -2.9620 3.6489
Hg 5.1719 1.2230 1.9630
Hg 5.1719 -1.2230 5.8890
Hg 3.4479 -6.0194 7.5749
```

Values from the calculation:
As for the total energy: -53.17 eV for the cell shown. The space group is No. 64. The formation energy is -0.31 eV per atom.

=====

First-principles (PBE) data for a geometry-optimized Er2Tm4Hg structure, as listed in Alexandria.

Structure (extended XYZ):
```
7
Lattice="8.0544 -1.7382 0.0000 8.0544 1.7382 0.0000 -3.8249 0.0000 7.3560" Properties=species:S:1:pos:R:3 pbc="T T T"
Er 2.9657 0.0000 1.0383
Er 9.3181 0.0000 6.3178
Tm -1.3942 0.0000 5.1705
Tm 3.6271 0.0000 4.4615
Tm 8.6568 0.0000 2.8945
Tm 13.6781 0.0000 2.1855
Hg 0.0000 0.0000 0.0000
```

Values from the calculation:
As for the total energy: -27.27 eV for the cell shown. The space group is No. 12. The formation energy is 0.01 eV per atom.

=====

First-principles (PBE) data for a geometry-optimized Er5TmHg2 structure, as listed in Alexandria.

Structure (extended XYZ):
```
8
Lattice="-1.8115 5.0731 6.1487 1.8115 -5.0731 6.1487 1.8115 5.0731 -6.1487" Properties=species:S:1:pos:R:3 pbc="T T T"
Er 0.0000 0.0000 0.0000
Er 1.8115 2.3119 -1.6592
Er 1.8115 2.3119 1.6592
Er 0.0000 2.7612 4.4895
Er 0.0000 2.7612 7.8080
Tm 0.0000 5.0731 0.0000
Hg 0.0000 0.0000 3.2327
Hg 0.0000 0.0000 9.0648
```

Values from the calculation:
As for the total energy: -29.08 eV for the cell shown. The space group is No. 71. The formation energy is -0.15 eV per atom.

=====

First-principles (PBE) data for a geometry-optimized Er2Tm2Hg structure, as listed in Alexandria.

Structure (extended XYZ):
```
10
Lattice="-2.4925 2.4925 12.3210 2.4925 -2.4925 12.3210 2.4925 2.4925 -12.3210" Properties=species:S:1:pos:R:3 pbc="T T T"
Er 2.4925 1.2462 -4.9411
Er 0.0000 1.2462 1.2194
Er 2.4925 1.2462 11.1016
Er 0.0000 1.2462 17.2621
Tm 2.4925 1.2462 -1.2786
Tm 0.0000 1.2462 4.8819
Tm 2.4925 1.2462 7.4390
Tm 0.0000 1.2462 13.5995
Hg 2.4925 -1.2462 9.2407
Hg 0.0000 3.7387 3.0802
```

Values from the calculation:
As for the total energy: -37.07 eV for the cell shown. The space group is No. 141. The formation energy is -0.03 eV per atom.

=====

First-principles (PBE) data for a geometry-optimized Er3TmHg3 structure, as listed in Alexandria.

Structure (extended XYZ):
```
14
Lattice="9.1644 0.0000 0.0000 -4.5822 7.9366 0.0000 0.0000 0.0000 5.1342" Properties=species:S:1:pos:R:3 pbc="T T T"
Er -1.0350 1.9270 1.2836
Er -2.3959 7.8695 1.2836
Er 1.1513 1.8599 3.8507
Er 3.4309 6.0768 1.2836
Er 6.9781 0.0671 3.8507
Er 5.6173 6.0096 3.8507
Tm 0.0000 5.2911 3.8507
Tm 4.5822 2.6455 1.2836
Hg -2.3362 4.8569 1.2836
Hg 1.5442 3.4850 1.2836
Hg 3.7902 0.4052 3.8507
Hg 0.7921 7.5314 1.2836
Hg 3.0381 4.4517 3.8507
Hg 6.9184 3.0798 3.8507
```

Values from the calculation:
As for the total energy: -42.00 eV for the cell shown. The space group is No. 176. The formation energy is -0.28 eV per atom.

=====

First-principles (PBE) data for a geometry-optimized ErTm3Hg4 structure, as listed in Alexandria.

Structure (extended XYZ):
```
8
Lattice="5.1767 0.0000 0.0000 0.0000 5.1767 0.0000 0.0000 0.0000 7.4266" Properties=species:S:1:pos:R:3 pbc="T T T"
Er 0.0000 0.0000 0.0000
Tm 0.0000 0.0000 3.7133
Tm 2.5883 2.5883 0.0000
Tm 2.5883 2.5883 3.7133
Hg 0.0000 2.5883 1.8652
Hg 0.0000 2.5883 5.5614
Hg 2.5883 0.0000 1.8652
Hg 2.5883 0.0000 5.5614
```

Values from the calculation:
Its energy above the lowest structure with this stoichiometry is 0 meV per atom. As for the total energy: -23.01 eV for the cell shown. The space group is No. 123. The formation energy is -0.48 eV per atom.

=====

First-principles (PBE) data for a geometry-optimized ErTm3Hg6 structure, as listed in Alexandria.

Structure (extended XYZ):
```
20
Lattice="9.0531 0.0000 0.0000 0.0000 5.1139 0.0000 -3.1664 0.0000 10.5277" Properties=species:S:1:pos:R:3 pbc="T T T"
Er -0.6860 1.2785 4.1173
Er 6.5726 3.8354 6.4104
Tm 2.0733 1.2785 0.0742
Tm 0.6650 3.8354 8.4169
Tm 2.4088 1.2785 6.4355
Tm 3.4778 3.8354 4.0922
Tm 5.2216 1.2785 2.1108
Tm 3.8133 3.8354 10.4535
Hg -2.2691 3.8354 9.4560
Hg 0.6416 3.8354 2.1036
Hg -0.7079 1.2785 7.2601
Hg 0.6055 3.8354 5.3797
Hg 2.2320 1.2785 3.1531
Hg 3.9051 3.8354 0.9687
Hg 1.9816 1.2785 9.5590
Hg 3.6547 3.8354 7.3747
Hg 5.2811 1.2785 5.1480
Hg 6.5946 3.8354 3.2676
Hg 5.2450 1.2785 8.4241
Hg 8.1557 1.2785 1.0717
```

Values from the calculation:
As for the total energy: -47.79 eV for the cell shown. The space group is No. 11. The formation energy is -0.41 eV per atom.